Computed, not measured: a relaxed structure of Dy2HoNiSn3Ir2 at the PBE level of DFT.

Values from the calculation:
Density (g/cm3): 11.49
Final energy (eV for the cell shown): -112.50

```
data_Dy2HoNiSn3Ir2
_chemical_formula_sum 'Dy4 Ho2 Ni2 Sn6 Ir4'
_cell_length_a 3.8176
_cell_length_b 13.0006
_cell_length_c 7.5075
_cell_angle_alpha 90.00
_cell_angle_beta 90.00
_cell_angle_gamma 90.00
_space_group_name_H-M_alt 'A m m 2'
_space_group_IT_number 38
_space_group_name_Hall 'A 2 -2'
loop_
_atom_site_label
_atom_site_type_symbol
_atom_site_fract_x
_atom_site_fract_y
_atom_site_fract_z
Dy1 Dy 0.0000 0.2028 0.0000
Ho1 Ho 0.0000 0.0000 0.3916
Ni1 Ni 0.0000 0.0000 0.7972
Sn1 Sn 0.5000 0.0000 0.0527
Sn2 Sn 0.5000 0.1277 0.6695
Ir1 Ir 0.5000 0.1666 0.2972
```